Sm4NiTe (GGA-PBE, optimized geometry); total moment = 0.0000 μB/atom; raw total energy = -125.0 eV/cell; formation energy from raw total energies = -0.575 eV per atom
1.0
-2.9913 -0.1726 2.5354
-5.4602 -0.6627 -6.4871
1.6612 -19.7279 0.6171
Ni Sm Te
4 16 4
Direct
0.2500 0.7683 0.5514 Ni
0.2500 0.2683 0.9486 Ni
0.7500 0.7317 0.0514 Ni
0.7500 0.2317 0.4486 Ni
0.7500 0.3508 0.0494 Sm
0.2500 0.4765 0.4309 Sm
0.2500 0.1350 0.3505 Sm
0.2500 0.1492 0.5494 Sm
0.7500 0.5235 0.5691 Sm
0.2500 0.0399 0.7799 Sm
0.2500 0.9765 0.0691 Sm
0.7500 0.0235 0.9309 Sm
0.7500 0.3650 0.8505 Sm
0.2500 0.5399 0.7201 Sm
0.7500 0.8650 0.6495 Sm
0.2500 0.6492 0.9506 Sm
0.2500 0.6350 0.1495 Sm
0.7500 0.4601 0.2799 Sm
0.7500 0.8508 0.4506 Sm
0.7500 0.9601 0.2201 Sm
0.2500 0.2544 0.1846 Te
0.7500 0.2456 0.6846 Te
0.7500 0.7456 0.8154 Te
0.2500 0.7544 0.3154 Te